Below is a relaxed NaCu2GeMo crystal, with properties calculated at the PBE-GGA level.

DFT formation energy: 760 meV/atom
Density of states at the Fermi level: 0.75 states/eV/atom
E_tot: -21.16 eV per cell

Unit cell a=4.833 b=4.830 c=4.833 alpha=90.00 beta=90.00 gamma=90.00
Element x y z (fractional)
Ge 0.000 0.500 0.000
Mo 0.000 0.000 0.000
Cu 0.500 0.000 0.000
Cu 0.000 0.000 0.500
Na 0.500 0.500 0.500